Density functional theory data (PBE) for a relaxed CeP2Ru5 crystal.

a = 3.9171 Å, b = 6.1041 Å, c = 6.1041 Å
α = 67.60°, β = 71.28°, γ = 71.28°
Fractional positions:
P 0.7549 0.7451 0.7451
P 0.2451 0.2549 0.2549
Ce 0.0000 0.0000 0.0000
Ru 0.3554 0.8423 0.4470
Ru 0.0000 0.5000 0.5000
Ru 0.3554 0.4470 0.8423
Ru 0.6446 0.1577 0.5530
Ru 0.6446 0.5530 0.1577

Magnetic moment: 0.0000 μB/atom
N(E_F): 9.5 states/eV/cell
V: 124.5 Å³/cell
Energy of formation: -4.2 eV/f.u.